The following is a DFT calculation (GGA-PBE) of crystalline Ce2Pu3ThSe6 at its relaxed geometry.

abc: 9.3133 9.3133 8.3592
angles: 102.64 102.64 25.78
Positions (direct):
1 Ce 0.1672 0.1672 0.3371
2 Ce 0.8328 0.8328 0.6629
3 Pu 0.1662 0.1662 0.8364
4 Pu 0.5000 0.5000 0.5000
5 Pu 0.8338 0.8338 0.1636
6 Th 0.5000 0.5000 0.0000
7 Se 0.9996 0.9996 0.2555
8 Se 0.0004 0.0004 0.7445
9 Se 0.3313 0.3313 0.9176
10 Se 0.3346 0.3346 0.4112
11 Se 0.6654 0.6654 0.5888
12 Se 0.6687 0.6687 0.0824

E_form (uncorrected) ... -1.632 eV/atom
DOS(E_F) ... 31.12 states/eV/cell

=====

The following is a DFT calculation (GGA-PBE) of crystalline Te2MoBr at its relaxed geometry.

abc: 6.8298 3.2890 6.9750
angles: 90.00 118.73 90.00
Positions (direct):
1 Te 0.0000 0.0000 0.0000
2 Te 0.3423 0.5000 0.6471
3 Mo 0.3687 0.0000 0.3630
4 Br 0.6414 0.5000 0.3412

E above lowest polymorph ... 28 meV per atom
E_form (uncorrected) ... -0.056 eV/atom
DOS(E_F) ... 2.67 states/eV/cell

=====

The following is a DFT calculation (GGA-PBE) of crystalline PrDyZnGa at its relaxed geometry.

abc: 5.1657 5.1657 5.1657
angles: 60.00 60.00 60.00
Positions (direct):
1 Pr 0.0000 0.0000 0.0000
2 Dy 0.5000 0.5000 0.5000
3 Zn 0.7500 0.7500 0.7500
4 Ga 0.2500 0.2500 0.2500

DOS(E_F) ... 3.85 states/eV/cell
Formation enthalpy at 0 K ... -447 meV per atom

=====

The following is a DFT calculation (GGA-PBE) of crystalline CsRb2PtF8 at its relaxed geometry.

abc: 7.1743 7.1743 7.7954
angles: 90.00 90.00 120.00
Positions (direct):
1 Cs 0.0000 0.0000 0.0000
2 Rb 0.3333 0.6667 0.7415
3 Rb 0.6667 0.3333 0.2585
4 Pt 0.0000 0.0000 0.5000
5 F 0.1258 0.2516 0.6509
6 F 0.1258 0.8742 0.6509
7 F 0.2516 0.1258 0.3491
8 F 0.3333 0.6667 0.0788
9 F 0.6667 0.3333 0.9212
10 F 0.7484 0.8742 0.6509
11 F 0.8742 0.1258 0.3491
12 F 0.8742 0.7484 0.3491

E_form (uncorrected) ... -1.970 eV/atom
DOS(E_F) ... 29.09 states/eV/cell

=====

The following is a DFT calculation (GGA-PBE) of crystalline ThGaH8Ru2 at its relaxed geometry.

abc: 4.3722 4.3722 7.2226
angles: 90.00 90.00 120.00
Positions (direct):
1 Th 0.0000 0.0000 0.0000
2 Ga 0.0000 0.0000 0.5000
3 H 0.1351 0.2702 0.2724
4 H 0.1351 0.8649 0.2724
5 H 0.2702 0.1351 0.7276
6 H 0.3333 0.6667 0.1190
7 H 0.6667 0.3333 0.8810
8 H 0.7298 0.8649 0.2724
9 H 0.8649 0.1351 0.7276
10 H 0.8649 0.7298 0.7276
11 Ru 0.3333 0.6667 0.3550
12 Ru 0.6667 0.3333 0.6450

DOS(E_F) ... 5.19 states/eV/cell
Energy ... -0.16727 Ha/atom

=====

The following is a DFT calculation (GGA-PBE) of crystalline ReHgSe at its relaxed geometry.

abc: 3.1385 3.1385 7.4546
angles: 90.00 90.00 120.00
Positions (direct):
1 Re 0.0000 0.0000 0.0000
2 Hg 0.3333 0.6667 0.6847
3 Se 0.6667 0.3333 0.2190

E above lowest polymorph ... 0 meV per atom
E_form (uncorrected) ... 0.278 eV/atom
DOS(E_F) ... 1.47 states/eV/cell

=====

The following is a DFT calculation (GGA-PBE) of crystalline Dy3Zn2Pd6 at its relaxed geometry.

abc: 8.2174 8.2174 8.2174
angles: 109.47 109.47 109.47
Positions (direct):
1 Dy 0.0000 0.3009 0.3009
2 Dy 0.0000 0.6991 0.6991
3 Dy 0.3009 0.0000 0.3009
4 Dy 0.3009 0.3009 0.0000
5 Dy 0.6991 0.0000 0.6991
6 Dy 0.6991 0.6991 0.0000
7 Zn 0.0000 0.0000 0.5000
8 Zn 0.0000 0.5000 0.0000
9 Zn 0.5000 0.0000 0.0000
10 Zn 0.5000 0.5000 0.5000
11 Pd 0.0000 0.3343 0.6657
12 Pd 0.0000 0.6657 0.3343
13 Pd 0.3313 0.6657 0.6657
14 Pd 0.3343 0.0000 0.6657
15 Pd 0.3343 0.3343 0.6687
16 Pd 0.3343 0.6657 0.0000
17 Pd 0.3343 0.6687 0.3343
18 Pd 0.6657 0.0000 0.3343
19 Pd 0.6657 0.3313 0.6657
20 Pd 0.6657 0.3343 0.0000
21 Pd 0.6657 0.6657 0.3313
22 Pd 0.6687 0.3343 0.3343

DOS(E_F) ... 9.82 states/eV/cell
Formation enthalpy at 0 K ... -782 meV per atom

=====

The following is a DFT calculation (GGA-PBE) of crystalline KInGe at its relaxed geometry.

abc: 7.6474 6.1036 4.4929
angles: 90.00 90.00 90.00
Positions (direct):
1 K 0.2500 0.0000 0.2451
2 K 0.7500 0.0000 0.7549
3 In 0.0000 0.5000 0.0000
4 In 0.5000 0.5000 0.0000
5 Ge 0.2500 0.5000 0.5929
6 Ge 0.7500 0.5000 0.4071

DOS(E_F) ... 1.16 states/eV/cell
Formation enthalpy at 0 K ... 38 meV per atom

=====

The following is a DFT calculation (GGA-PBE) of crystalline LiCuMo2 at its relaxed geometry.

abc: 4.3401 4.3401 4.3401
angles: 60.00 60.00 60.00
Positions (direct):
1 Li 0.0000 0.0000 0.0000
2 Cu 0.7500 0.7500 0.7500
3 Mo 0.2500 0.2500 0.2500
4 Mo 0.5000 0.5000 0.5000

E above lowest polymorph ... 260 meV per atom
DOS(E_F) ... 2.92 states/eV/cell
Formation enthalpy at 0 K ... 436 meV per atom

=====

The following is a DFT calculation (GGA-PBE) of crystalline CoNiIr2 at its relaxed geometry.

abc: 8.5163 8.5163 8.5163
angles: 18.09 18.09 18.09
Positions (direct):
1 Co 0.0000 0.0000 0.0000
2 Ni 0.5000 0.5000 0.5000
3 Ir 0.2507 0.2507 0.2507
4 Ir 0.7493 0.7493 0.7493

E above lowest polymorph ... 45 meV per atom
DOS(E_F) ... 6.43 states/eV/cell
Formation enthalpy at 0 K ... 50 meV per atom

=====

The following is a DFT calculation (GGA-PBE) of crystalline CdRhC3 at its relaxed geometry.

abc: 4.1669 4.1669 4.1669
angles: 90.00 90.00 90.00
Positions (direct):
1 Cd 0.0000 0.0000 0.0000
2 Rh 0.5000 0.5000 0.5000
3 C 0.0000 0.0000 0.5000
4 C 0.0000 0.5000 0.0000
5 C 0.5000 0.0000 0.0000

E above lowest polymorph ... 1261 meV per atom
DOS(E_F) ... 3.45 states/eV/cell
Formation enthalpy at 0 K ... 3504 meV per atom

=====

The following is a DFT calculation (GGA-PBE) of crystalline CdAsH3 at its relaxed geometry.

abc: 3.8706 3.8706 3.8706
angles: 90.00 90.00 90.00
Positions (direct):
1 Cd 0.0000 0.0000 0.0000
2 As 0.5000 0.5000 0.5000
3 H 0.0000 0.5000 0.5000
4 H 0.5000 0.0000 0.5000
5 H 0.5000 0.5000 0.0000

E above lowest polymorph ... 0 meV per atom
DOS(E_F) ... 0.91 states/eV/cell

=====

The following is a DFT calculation (GGA-PBE) of crystalline YHoU2As4 at its relaxed geometry.

abc: 7.0431 4.0654 7.1857
angles: 90.00 109.06 90.00
Positions (direct):
1 Y 0.0000 0.0000 0.0000
2 Ho 0.5000 0.5000 0.0000
3 U 0.0000 0.5000 0.5000
4 U 0.5000 0.0000 0.5000
5 As 0.2506 0.0000 0.7491
6 As 0.2514 0.5000 0.2516
7 As 0.7494 0.0000 0.2509
8 As 0.7486 0.5000 0.7484

DOS(E_F) ... 7.10 states/eV/cell
Formation enthalpy at 0 K ... -1141 meV per atom

=====

The following is a DFT calculation (GGA-PBE) of crystalline NiBi2Rh at its relaxed geometry.

abc: 6.5343 6.5343 6.5343
angles: 118.74 118.74 92.20
Positions (direct):
1 Ni 0.0000 0.0000 0.0000
2 Ni 0.7500 0.2500 0.5000
3 Bi 0.1136 0.6250 0.9886
4 Bi 0.3750 0.3636 0.4886
5 Bi 0.6364 0.1250 0.0114
6 Bi 0.8750 0.8864 0.5114
7 Rh 0.2500 0.7500 0.5000
8 Rh 0.5000 0.5000 0.0000

DOS(E_F) ... 4.37 states/eV/cell
Formation enthalpy at 0 K ... 333 meV per atom

=====

The following is a DFT calculation (GGA-PBE) of crystalline Tb4ReBr5 at its relaxed geometry.

abc: 9.4509 9.4509 9.2276
angles: 104.17 104.17 23.46
Positions (direct):
1 Tb 0.0020 0.0020 0.2351
2 Tb 0.3563 0.3563 0.9245
3 Tb 0.6437 0.6437 0.0755
4 Tb 0.9980 0.9980 0.7649
5 Re 0.5000 0.5000 0.0000
6 Br 0.1685 0.1685 0.3222
7 Br 0.1720 0.1720 0.8507
8 Br 0.5000 0.5000 0.5000
9 Br 0.8280 0.8280 0.1493
10 Br 0.8315 0.8315 0.6778

E_form (uncorrected) ... -1.214 eV/atom
DOS(E_F) ... 3.63 states/eV/cell

=====

The following is a DFT calculation (GGA-PBE) of crystalline Nd8Y4Er at its relaxed geometry.

abc: 10.5498 10.5498 10.5498
angles: 40.65 40.65 40.65
Positions (direct):
1 Nd 0.2054 0.7511 0.7511
2 Nd 0.2120 0.2120 0.2120
3 Nd 0.2489 0.2489 0.7946
4 Nd 0.2489 0.7946 0.2489
5 Nd 0.7511 0.2054 0.7511
6 Nd 0.7511 0.7511 0.2054
7 Nd 0.7880 0.7880 0.7880
8 Nd 0.7946 0.2489 0.2489
9 Y 0.0000 0.0000 0.0000
10 Y 0.0000 0.5000 0.5000
11 Y 0.5000 0.0000 0.5000
12 Y 0.5000 0.5000 0.0000
13 Er 0.5000 0.5000 0.5000

DOS(E_F) ... 14.80 states/eV/cell
Formation enthalpy at 0 K ... 190 meV per atom

=====

The following is a DFT calculation (GGA-PBE) of crystalline Na2CaTeS4 at its relaxed geometry.

abc: 8.0438 8.0438 8.0438
angles: 120.99 118.92 90.09
Positions (direct):
1 Na 0.0000 0.0000 0.0000
2 Na 0.5000 0.0000 0.0000
3 Na 0.5000 0.0000 0.5000
4 Na 0.5000 0.5000 0.5000
5 Ca 0.0000 0.5000 0.5000
6 Ca 0.5000 0.5000 0.0000
7 Te 0.0000 0.0000 0.5000
8 Te 0.0000 0.5000 0.0000
9 S 0.2281 0.7494 0.4787
10 S 0.2293 0.2506 0.9787
11 S 0.2352 0.2405 0.5053
12 S 0.2352 0.7299 0.9947
13 S 0.7648 0.2701 0.0053
14 S 0.7648 0.7595 0.4947
15 S 0.7707 0.7494 0.0213
16 S 0.7719 0.2506 0.5213

E_form (uncorrected) ... -0.982 eV/atom

=====

The following is a DFT calculation (GGA-PBE) of crystalline YMo at its relaxed geometry.

abc: 4.9107 4.9107 4.9107
angles: 60.00 60.00 60.00
Positions (direct):
1 Y 0.1250 0.1250 0.1250
2 Y 0.8750 0.8750 0.8750
3 Mo 0.3750 0.3750 0.3750
4 Mo 0.6250 0.6250 0.6250

E above lowest polymorph ... 354 meV per atom
DOS(E_F) ... 6.30 states/eV/cell
Formation enthalpy at 0 K ... 490 meV per atom

=====

The following is a DFT calculation (GGA-PBE) of crystalline SrBi6O8 at its relaxed geometry.

abc: 7.1766 7.1766 7.1766
angles: 60.92 60.92 60.92
Positions (direct):
1 Sr 0.0000 0.0000 0.0000
2 Bi 0.1185 0.5008 0.6626
3 Bi 0.3374 0.8815 0.4992
4 Bi 0.4992 0.3374 0.8815
5 Bi 0.5008 0.6626 0.1185
6 Bi 0.6626 0.1185 0.5008
7 Bi 0.8815 0.4992 0.3374
8 O 0.0815 0.8369 0.3699
9 O 0.1631 0.6301 0.9185
10 O 0.3592 0.3592 0.3592
11 O 0.3699 0.0815 0.8369
12 O 0.6301 0.9185 0.1631
13 O 0.6408 0.6408 0.6408
14 O 0.8369 0.3699 0.0815
15 O 0.9185 0.1631 0.6301

E_form (uncorrected) ... -0.967 eV/atom
DOS(E_F) ... 3.72 states/eV/cell

=====

The following is a DFT calculation (GGA-PBE) of crystalline NpBeSi2Pd at its relaxed geometry.

abc: 5.8553 5.8553 5.8553
angles: 140.84 140.84 56.59
Positions (direct):
1 Np 0.0000 0.0000 0.0000
2 Be 0.2500 0.7500 0.5000
3 Si 0.3856 0.3856 0.0000
4 Si 0.6144 0.6144 0.0000
5 Pd 0.7500 0.2500 0.5000

E_form (uncorrected) ... -0.412 eV/atom
DOS(E_F) ... 8.01 states/eV/cell

=====

Values for V, A^3/atom, ordered as above
25.6 34.3 24.4 29.0 10.0 21.2 19.4 35.0 14.5 13.0 14.5 11.6 24.3 25.1 31.8 34.6 23.0 20.9 17.8 15.9